(1)
HgOsW2: optimized geometry, PBE.

Values from the calculation:
- Density of states at the Fermi level: 3.949 states/eV per cell
- Total magnetic moment: 0.0 μB per formula unit
- Formation energy: 66.1 kJ/mol of atoms
- Calculated total energy: -34.70 eV/cell

Lattice parameters (Å, degrees): 3.969 3.969 4.155 90.00 90.00 90.00
Space group P4/mmm (No. 123)
Asymmetric unit:
Hg: 0.000 0.000 0.000 x1
Os: 0.500 0.500 0.000 x1
W: 0.000 0.500 0.500 x2


(2)
HgOs2W: optimized geometry, PBE.

Values from the calculation:
- Density of states at the Fermi level: 12.978 states/eV per cell
- Total magnetic moment: 0.0 μB per formula unit
- Formation energy: 47.6 kJ/mol of atoms
- Calculated total energy: -101.22 eV/cell

Lattice parameters (Å, degrees): 2.8227 2.8227 28.3221 90.00 90.00 120.00
Space group R3m (No. 160, hexagonal axes)
Asymmetric unit:
Hg: 0.0000 0.0000 0.0000 x3
Os: 0.0000 0.0000 0.4967 x3
Os: 0.0000 0.0000 0.7560 x3
W: 0.0000 0.0000 0.2420 x3